Entry 1:
PBE-GGA AgPd5Pt2, optimized geometry; ρ = 12.71 Mg/m³; V = 16.818 A^3/atom; final energy = -80.20 eV per cell; polymorph energy (0 for the lowest one) = 0.000 eV per atom; DOS(E_F) = 1.60 states/eV/atom; energy of formation from the pure elements = 10 kJ/mol of atoms
1.0
-0.660 -2.468 1.019
6.194 -3.596 -0.951
4.255 4.025 12.495
Ag Pd Pt
2 10 4
direct
0.611 0.783 0.750
0.389 0.217 0.250
0.056 0.889 0.918
0.056 0.889 0.582
0.277 0.445 0.415
0.277 0.445 0.085
0.170 0.661 0.250
0.830 0.339 0.750
0.723 0.555 0.585
0.723 0.555 0.915
0.944 0.111 0.082
0.944 0.111 0.418
0.610 0.779 0.411
0.610 0.779 0.089
0.390 0.221 0.589
0.390 0.221 0.911

Entry 2:
PBE-GGA Ag6Pd4Pt, optimized geometry; ρ = 10.33 Mg/m³; V = 18.536 A^3/atom; final energy = -41.82 eV per cell; DOS(E_F) = 0.56 states/eV/atom; energy of formation from the pure elements = 18 kJ/mol of atoms
1.0
0.606 -1.526 -7.755
0.460 -3.732 6.978
-5.537 0.843 5.609
Ag Pd Pt
6 4 1
direct
0.000 0.834 0.453
0.000 0.453 0.834
0.381 0.547 0.547
0.500 0.500 0.000
0.619 0.166 0.166
0.500 0.000 0.500
0.000 0.646 0.031
0.386 0.354 0.354
0.000 0.031 0.646
0.614 0.969 0.969
0.000 0.000 0.000

Entry 3:
PBE-GGA AgPd14Pt, optimized geometry; ρ = 11.96 Mg/m³; V = 15.560 A^3/atom; final energy = -81.34 eV per cell; DOS(E_F) = 2.38 states/eV/atom; energy of formation from the pure elements = 2 kJ/mol of atoms
1.0
5.565 -0.320 0.000
-2.475 4.994 0.000
0.000 0.000 9.222
Ag Pd Pt
1 14 1
direct
0.044 0.956 0.500
0.207 0.793 0.000
0.706 0.294 0.000
0.043 0.455 0.500
0.207 0.293 0.000
0.545 0.957 0.500
0.707 0.793 0.000
0.376 0.126 0.751
0.376 0.126 0.249
0.874 0.624 0.751
0.874 0.624 0.249
0.375 0.625 0.749
0.375 0.625 0.251
0.875 0.125 0.752
0.875 0.125 0.248
0.543 0.457 0.500

Entry 4:
PBE-GGA Ag2Pd5Pt, optimized geometry; ρ = 12.10 Mg/m³; V = 16.177 A^3/atom; final energy = -36.99 eV per cell; polymorph energy (0 for the lowest one) = 0.000 eV per atom; DOS(E_F) = 1.64 states/eV/atom; energy of formation from the pure elements = 9 kJ/mol of atoms
1.0
2.672 0.000 -0.531
-0.750 8.023 -3.774
-0.023 -1.703 6.874
Ag Pd Pt
2 5 1
direct
0.254 0.754 0.508
0.746 0.246 0.492
0.000 0.500 0.000
0.624 0.385 0.248
0.376 0.615 0.752
0.624 0.863 0.248
0.376 0.137 0.752
0.000 0.000 0.000

Entry 5:
PBE-GGA Ag4PdPt2, optimized geometry; ρ = 12.89 Mg/m³; V = 17.082 A^3/atom; final energy = -28.36 eV per cell; DOS(E_F) = 0.36 states/eV/atom; energy of formation from the pure elements = 4 kJ/mol of atoms
1.0
2.792 0.000 0.227
1.387 2.424 0.227
-0.031 -0.018 17.666
Ag Pd Pt
4 1 2
direct
0.288 0.288 0.135
0.712 0.712 0.865
0.857 0.857 0.430
0.143 0.143 0.570
0.000 0.000 0.000
0.764 0.764 0.708
0.236 0.236 0.292

Entry 6:
PBE-GGA Ag8PdPt2, optimized geometry; ρ = 11.17 Mg/m³; V = 18.372 A^3/atom; final energy = -37.91 eV per cell; polymorph energy (0 for the lowest one) = 0.008 eV per atom; DOS(E_F) = 0.34 states/eV/atom; energy of formation from the pure elements = 19 kJ/mol of atoms
1.0
4.840 1.210 0.708
2.314 6.297 3.524
1.118 0.044 7.334
Ag Pd Pt
8 1 2
direct
0.883 0.097 0.228
0.883 0.325 0.772
0.319 0.407 0.000
0.500 0.785 0.431
0.500 0.215 0.569
0.681 0.593 0.000
0.117 0.675 0.228
0.117 0.903 0.772
0.500 0.000 0.000
0.000 0.307 0.387
0.000 0.693 0.613

Entry 7:
PBE-GGA Ag2Pd5Pt, optimized geometry; ρ = 11.77 Mg/m³; V = 16.622 A^3/atom; final energy = -72.55 eV per cell; polymorph energy (0 for the lowest one) = 0.089 eV per atom; DOS(E_F) = 1.68 states/eV/atom; energy of formation from the pure elements = 17 kJ/mol of atoms
1.0
6.941 0.000 0.000
0.000 6.941 0.000
-3.470 -3.470 5.520
Ag Pd Pt
4 10 2
direct
0.144 0.356 0.000
0.644 0.144 0.000
0.356 0.856 0.000
0.856 0.644 0.000
0.484 0.682 0.666
0.818 0.016 0.334
0.000 0.000 0.000
0.500 0.500 0.000
0.182 0.984 0.666
0.682 0.182 0.666
0.984 0.484 0.666
0.318 0.818 0.334
0.016 0.516 0.334
0.516 0.318 0.334
0.750 0.750 0.500
0.250 0.250 0.500

Entry 8:
PBE-GGA Ag15Pd2Pt2, optimized geometry; ρ = 10.18 Mg/m³; V = 19.072 A^3/atom; final energy = -60.83 eV per cell; DOS(E_F) = 0.28 states/eV/atom; energy of formation from the pure elements = 22 kJ/mol of atoms
1.0
0.446 6.015 -4.007
-6.524 2.899 1.215
1.636 4.879 5.095
Ag Pd Pt
15 2 2
direct
0.000 0.500 0.000
0.000 0.000 0.500
0.500 0.000 0.000
0.315 0.000 0.685
0.685 0.315 0.000
0.000 0.685 0.315
0.315 0.685 0.000
0.000 0.315 0.685
0.685 0.000 0.315
0.347 0.846 0.347
0.347 0.347 0.846
0.846 0.347 0.347
0.653 0.154 0.653
0.653 0.653 0.154
0.154 0.653 0.653
0.909 0.909 0.909
0.091 0.091 0.091
0.724 0.724 0.724
0.276 0.276 0.276

Repeat the first record exactly.
PBE-GGA AgPd5Pt2, optimized geometry; ρ = 12.71 Mg/m³; V = 16.818 A^3/atom; final energy = -80.20 eV per cell; polymorph energy (0 for the lowest one) = 0.000 eV per atom; DOS(E_F) = 1.60 states/eV/atom; energy of formation from the pure elements = 10 kJ/mol of atoms
1.0
-0.660 -2.468 1.019
6.194 -3.596 -0.951
4.255 4.025 12.495
Ag Pd Pt
2 10 4
direct
0.611 0.783 0.750
0.389 0.217 0.250
0.056 0.889 0.918
0.056 0.889 0.582
0.277 0.445 0.415
0.277 0.445 0.085
0.170 0.661 0.250
0.830 0.339 0.750
0.723 0.555 0.585
0.723 0.555 0.915
0.944 0.111 0.082
0.944 0.111 0.418
0.610 0.779 0.411
0.610 0.779 0.089
0.390 0.221 0.589
0.390 0.221 0.911

Repeat the sixth record exactly.
PBE-GGA Ag8PdPt2, optimized geometry; ρ = 11.17 Mg/m³; V = 18.372 A^3/atom; final energy = -37.91 eV per cell; polymorph energy (0 for the lowest one) = 0.008 eV per atom; DOS(E_F) = 0.34 states/eV/atom; energy of formation from the pure elements = 19 kJ/mol of atoms
1.0
4.840 1.210 0.708
2.314 6.297 3.524
1.118 0.044 7.334
Ag Pd Pt
8 1 2
direct
0.883 0.097 0.228
0.883 0.325 0.772
0.319 0.407 0.000
0.500 0.785 0.431
0.500 0.215 0.569
0.681 0.593 0.000
0.117 0.675 0.228
0.117 0.903 0.772
0.500 0.000 0.000
0.000 0.307 0.387
0.000 0.693 0.613

Which of these has the highest V? Ag15Pd2Pt2

Which value of final energy does entry 7 give? -72.55 eV per cell